# 1
Rb4Mn3Cl10 | PBE | optimized geometry

Unit cell a=5.103 b=5.103 c=36.607 alpha=90.00 beta=90.00 gamma=90.00
Space group I4/mmm (No. 139)
Symmetry-distinct sites (fractional):
Rb 0.000 0.000 0.068 (multiplicity 4)
Rb 0.000 0.000 0.200 (multiplicity 4)
Mn 0.000 0.000 0.359 (multiplicity 4)
Mn 0.000 0.000 0.500 (multiplicity 2)
Cl 0.000 0.000 0.291 (multiplicity 4)
Cl 0.000 0.000 0.431 (multiplicity 4)
Cl 0.000 0.500 0.000 (multiplicity 4)
Cl 0.000 0.500 0.138 (multiplicity 8)

Computed properties:
The calculation puts the total energy at -4.4475 eV/atom. The calculation puts the uncorrected formation energy at -1515 meV per atom. Its crystal system is tetragonal.

***

# 2
RbMn2Cl4 | PBE | optimized geometry

Unit cell a=8.461 b=8.461 c=5.639 alpha=90.00 beta=90.00 gamma=90.00
Space group I4/m (No. 87)
Symmetry-distinct sites (fractional):
Rb 0.000 0.000 0.000 (multiplicity 2)
Mn 0.000 0.500 0.250 (multiplicity 4)
Cl 0.131 0.692 0.500 (multiplicity 8)

Computed properties:
The calculation puts the total energy at -4.9022 eV/atom. The calculation puts the uncorrected formation energy at -1089 meV per atom. Its crystal system is tetragonal.

***

# 3
Rb3MnCl4 | PBE | optimized geometry

Unit cell a=7.973 b=7.973 c=8.446 alpha=90.00 beta=90.00 gamma=90.00
Space group I-42m (No. 121)
Symmetry-distinct sites (fractional):
Rb 0.000 0.000 0.000 (multiplicity 2)
Rb 0.000 0.500 0.250 (multiplicity 4)
Mn 0.000 0.000 0.500 (multiplicity 2)
Cl 0.219 0.219 0.499 (multiplicity 8)

Computed properties:
The calculation puts the total energy at -3.8614 eV/atom. The calculation puts the uncorrected formation energy at -1429 meV per atom. Its crystal system is tetragonal.

***

# 4
Rb2MnCl | PBE | optimized geometry

Unit cell a=9.210 b=9.210 c=9.450 alpha=90.00 beta=90.00 gamma=90.00
Space group I-42d (No. 122)
Symmetry-distinct sites (fractional):
Rb 0.198 0.250 0.125 (multiplicity 8)
Mn 0.000 0.000 0.500 (multiplicity 4)
Cl 0.000 0.000 0.000 (multiplicity 4)

Computed properties:
The calculation puts the total energy at -3.3807 eV/atom. The calculation puts the uncorrected formation energy at -143 meV per atom. Its crystal system is tetragonal.

***

# 5
Rb3Mn2Cl8 | PBE | optimized geometry

Unit cell a=7.2346 b=7.2346 c=27.7713 alpha=90.00 beta=90.00 gamma=120.00
Space group R-3m (No. 166, hexagonal axes)
Symmetry-distinct sites (fractional):
Rb 0.0000 0.0000 0.0000 (multiplicity 3)
Rb 0.0000 0.0000 0.2062 (multiplicity 6)
Mn 0.0000 0.0000 0.4058 (multiplicity 6)
Cl 0.0000 0.0000 0.3236 (multiplicity 6)
Cl 0.0059 0.5029 0.7690 (multiplicity 18)

Computed properties:
The calculation puts the total energy at -4.2395 eV/atom. The calculation puts the uncorrected formation energy at -1469 meV per atom. Its crystal system is trigonal.

***

# 6
RbMnCl3 | PBE | optimized geometry

Unit cell a=7.2335 b=7.2335 c=17.9422 alpha=90.00 beta=90.00 gamma=120.00
Space group P6_3/mmc (No. 194)
Symmetry-distinct sites (fractional):
Rb 0.0000 0.0000 0.2500 (multiplicity 2)
Rb 0.3333 0.6667 0.0849 (multiplicity 4)
Mn 0.0000 0.0000 0.0000 (multiplicity 2)
Mn 0.3333 0.6667 0.6608 (multiplicity 4)
Cl 0.0165 0.5083 0.7500 (multiplicity 6)
Cl 0.1658 0.3316 0.5818 (multiplicity 12)

Computed properties:
The calculation puts the total energy at -4.5925 eV/atom. The calculation puts the uncorrected formation energy at -1457 meV per atom. Its crystal system is hexagonal.

***

# 7
Rb3Mn2Cl9 | PBE | optimized geometry

Unit cell a=12.1683 b=12.1683 c=18.8413 alpha=90.00 beta=90.00 gamma=120.00
Space group R-3c (No. 167, hexagonal axes)
Symmetry-distinct sites (fractional):
Rb 0.0000 0.3390 0.2500 (multiplicity 18)
Mn 0.0000 0.0000 0.1629 (multiplicity 12)
Cl 0.0000 0.1547 0.7500 (multiplicity 18)
Cl 0.0001 0.1640 0.1004 (multiplicity 36)

Computed properties:
The calculation puts the total energy at -4.1252 eV/atom. The calculation puts the uncorrected formation energy at -1421 meV per atom. Its crystal system is trigonal.

***

# 8
Rb2Mn3Cl8 | PBE | optimized geometry

Unit cell a=15.694 b=7.743 c=6.633 alpha=90.00 beta=107.77 gamma=90.00
Space group C2/m (No. 12)
Symmetry-distinct sites (fractional):
Rb 0.234 0.000 0.172 (multiplicity 4)
Mn 0.000 0.240 0.500 (multiplicity 4)
Mn 0.000 0.500 0.000 (multiplicity 2)
Cl 0.091 0.273 0.884 (multiplicity 8)
Cl 0.093 0.500 0.396 (multiplicity 4)
Cl 0.102 0.000 0.461 (multiplicity 4)

Computed properties:
The calculation puts the total energy at -4.7688 eV/atom. The calculation puts the uncorrected formation energy at -1367 meV per atom. Its crystal system is monoclinic.